# 1
LaTmPb2 | PBE | relaxed

The structure in extended XYZ format:
```
4
Lattice="2.405 1.389 6.944 -2.405 1.389 6.944 0.000 -2.777 6.944" Properties=species:S:1:pos:R:3 pbc="T T T"
La 0.000 0.000 0.000
Tm 0.000 0.000 17.174
Pb 0.000 0.000 8.746
Pb 0.000 0.000 11.929
```

Results
Formation enthalpy at 0 K: -0.354 eV/atom
Total magnetic moment: 0.0 μB per cell
Space-group type: R3m (160)

# 2
YAl2Ag | PBE | relaxed

The structure in extended XYZ format:
```
4
Lattice="0.000 3.413 3.413 3.413 0.000 3.413 3.413 3.413 0.000" Properties=species:S:1:pos:R:3 pbc="T T T"
Y 0.000 0.000 0.000
Al 1.707 1.707 1.707
Al 5.120 5.120 5.120
Ag 3.413 3.413 3.413
```

Results
Formation enthalpy at 0 K: -0.189 eV/atom
Total magnetic moment: 0.0 μB per cell
Space-group type: Fm-3m (225)

# 3
MgTeAu3 | PBE | relaxed

The structure in extended XYZ format:
```
5
Lattice="5.321 0.000 0.000 0.000 5.321 0.000 0.000 0.000 5.321" Properties=species:S:1:pos:R:3 pbc="T T T"
Mg 0.000 0.000 0.000
Te 2.660 2.660 2.660
Au 0.000 2.660 2.660
Au 2.660 0.000 2.660
Au 2.660 2.660 0.000
```

Results
Total magnetic moment: 0.0 μB per cell
Space-group type: Pm-3m (221)
Energy above the most stable polymorph in this dataset: 0.00 eV per formula unit
Energy relative to the elements, uncorrected: 209 kJ/mol of formula units

# 4
YIn2Mo | PBE | relaxed

The structure in extended XYZ format:
```
4
Lattice="4.343 0.000 0.000 0.000 4.355 0.000 0.000 0.000 4.608" Properties=species:S:1:pos:R:3 pbc="T T T"
Y 0.000 0.000 0.000
In 0.000 2.177 2.304
In 2.172 0.000 2.304
Mo 2.172 2.177 0.000
```

Results
Formation enthalpy at 0 K: 0.087 eV/atom
Total magnetic moment: 0.2 μB per cell
Space-group type: Pmmm (47)
Energy above the most stable polymorph in this dataset: 0.32 eV per formula unit

# 5
LiTbPrLu | PBE | relaxed

The structure in extended XYZ format:
```
4
Lattice="0.000 3.900 3.900 3.900 0.000 3.900 3.900 3.900 0.000" Properties=species:S:1:pos:R:3 pbc="T T T"
Li 0.000 0.000 0.000
Tb 5.849 5.849 5.849
Pr 1.950 1.950 1.950
Lu 3.900 3.900 3.900
```

Results
Formation enthalpy at 0 K: 0.148 eV/atom
Total magnetic moment: 0.0 μB per cell
Space-group type: F-43m (216)

# 6
BeRuCl2 | PBE | relaxed

The structure in extended XYZ format:
```
4
Lattice="2.976 0.000 0.000 0.000 3.893 0.000 0.000 0.000 5.581" Properties=species:S:1:pos:R:3 pbc="T T T"
Be 0.000 0.000 0.000
Ru 1.488 0.000 2.790
Cl 0.000 1.946 2.790
Cl 1.488 1.946 0.000
```

Results
Total magnetic moment: 1.1 μB per cell
Space-group type: Pmmm (47)
Energy above the most stable polymorph in this dataset: 3.19 eV per formula unit
Energy relative to the elements, uncorrected: 217 kJ/mol of formula units

# 7
Pm2PrTl9 | PBE | relaxed

The structure in extended XYZ format:
```
12
Lattice="4.831 0.000 0.000 0.000 4.831 0.000 0.000 0.000 14.493" Properties=species:S:1:pos:R:3 pbc="T T T"
Pm 0.000 0.000 2.401
Pm 0.000 0.000 12.091
Pr 0.000 0.000 7.246
Tl 0.000 2.415 0.000
Tl 0.000 2.415 4.806
Tl 0.000 2.415 9.686
Tl 2.415 0.000 0.000
Tl 2.415 0.000 4.806
Tl 2.415 0.000 9.686
Tl 2.415 2.415 2.408
Tl 2.415 2.415 7.246
Tl 2.415 2.415 12.084
```

Results
Formation enthalpy at 0 K: -0.315 eV/atom
Total magnetic moment: 0.0 μB per cell
Space-group type: P4/mmm (123)

# 8
Tb3Ce2N4 | PBE | relaxed

The structure in extended XYZ format:
```
9
Lattice="5.859 -1.749 0.000 5.859 1.749 0.000 -4.272 0.000 7.634" Properties=species:S:1:pos:R:3 pbc="T T T"
Tb 0.000 0.000 0.000
Tb -1.052 0.000 6.211
Tb 8.498 0.000 1.423
Ce 2.030 0.000 4.670
Ce 5.416 0.000 2.964
N 1.028 0.000 2.259
N 4.238 0.000 0.752
N 3.208 0.000 6.882
N 6.418 0.000 5.375
```

Results
Total magnetic moment: 0.7 μB per cell
Space-group type: C2/m (12)
Energy relative to the elements, uncorrected: -1193 kJ/mol of formula units

# 9
Zn3CdSb | PBE | relaxed

The structure in extended XYZ format:
```
5
Lattice="5.300 0.000 0.000 0.000 5.300 0.000 0.000 0.000 5.300" Properties=species:S:1:pos:R:3 pbc="T T T"
Zn 0.000 0.000 2.650
Zn 0.000 2.650 0.000
Zn 2.650 0.000 0.000
Cd 2.650 2.650 2.650
Sb 0.000 0.000 0.000
```

Results
Total magnetic moment: 0.0 μB per cell
Space-group type: Pm-3m (221)
Energy above the most stable polymorph in this dataset: 0.00 eV per formula unit
Energy relative to the elements, uncorrected: 220 kJ/mol of formula units

# 10
Li3SmGe2 | PBE | relaxed

The structure in extended XYZ format:
```
12
Lattice="7.445 -2.138 0.000 7.445 2.138 0.000 -3.527 0.000 7.175" Properties=species:S:1:pos:R:3 pbc="T T T"
Li -0.690 0.000 2.664
Li 2.732 0.000 3.808
Li 4.886 0.000 2.221
Li 6.478 0.000 4.953
Li 8.632 0.000 3.366
Li 12.054 0.000 4.511
Sm 2.013 0.000 0.417
Sm 9.351 0.000 6.758
Ge 0.379 0.000 5.126
Ge 4.134 0.000 5.985
Ge 7.230 0.000 1.189
Ge 10.985 0.000 2.049
```

Results
Formation enthalpy at 0 K: -0.504 eV/atom
Total magnetic moment: 0.0 μB per cell
Space-group type: C2/m (12)

# 11
Li2ZnFeN | PBE | relaxed

The structure in extended XYZ format:
```
5
Lattice="3.998 0.000 0.000 0.000 3.998 0.000 0.000 0.000 3.546" Properties=species:S:1:pos:R:3 pbc="T T T"
Li 0.000 1.999 0.000
Li 1.999 0.000 0.000
Zn 0.000 0.000 1.773
Fe 1.999 1.999 1.773
N 1.999 1.999 0.000
```

Results
Total magnetic moment: 0.0 μB per cell
Space-group type: P4/mmm (123)
Energy relative to the elements, uncorrected: -97 kJ/mol of formula units

# 12
Ac6IrOs2I3 | PBE | relaxed

The structure in extended XYZ format:
```
12
Lattice="3.803 -6.588 0.000 3.803 6.588 0.000 -2.538 0.000 8.571" Properties=species:S:1:pos:R:3 pbc="T T T"
Ac -0.017 2.222 6.999
Ac 1.237 0.000 1.573
Ac -0.017 -2.222 6.999
Ac 5.085 2.222 1.573
Ac 3.832 0.000 6.998
Ac 5.085 -2.222 1.573
Ir 3.803 0.000 0.000
Os 3.803 4.393 0.000
Os 3.803 -4.393 0.000
I -1.269 0.000 4.286
I 2.534 2.211 4.286
I 2.534 -2.211 4.286
```

Results
Total magnetic moment: 0.0 μB per cell
Space-group type: C2/m (12)
Energy relative to the elements, uncorrected: -854 kJ/mol of formula units